# Ac3CeRh8

A geometry-optimized Ac3CeRh8 structure (PBE, the Alexandria database).

Calculated values
total DFT energy (no corrections): -0.2581 Ha/atom
ΔE_f: -601.4 meV/atom
space group: R3m
spin magnetization: 0.2 Bohr magnetons per cell

```
Ac3CeRh8
1.0
2.752 1.589 8.986
-2.752 1.589 8.986
0.000 -3.177 8.986
Ac Ce Rh
3 1 8
Direct
0.000 0.000 0.000 Ac
0.126 0.126 0.126 Ac
0.622 0.622 0.622 Ac
0.498 0.498 0.498 Ce
0.061 0.061 0.559 Rh
0.061 0.559 0.061 Rh
0.067 0.563 0.563 Rh
0.312 0.312 0.312 Rh
0.559 0.061 0.061 Rh
0.563 0.067 0.563 Rh
0.563 0.563 0.067 Rh
0.812 0.812 0.812 Rh
```

***

# AcCeRhS4

A geometry-optimized AcCeRhS4 structure (PBE, the Alexandria database).

Calculated values
total DFT energy (no corrections): -0.2333 Ha/atom
formation energy without anion corrections: -1506 meV per atom
space group: I4mm
spin magnetization: 0.4 Bohr magnetons per cell

```
AcCeRhS4
1.0
-2.175 2.175 8.057
2.175 -2.175 8.057
2.175 2.175 -8.057
Ac Ce Rh S
1 1 1 4
Direct
0.000 0.000 0.000 Ac
0.729 0.729 0.000 Ce
0.403 0.403 0.000 Rh
0.182 0.182 0.000 S
0.350 0.850 0.500 S
0.553 0.553 0.000 S
0.850 0.350 0.500 S
```

***

# Ac2CeSb4Rh3

A geometry-optimized Ac2CeSb4Rh3 structure (PBE, the Alexandria database).

Calculated values
total DFT energy (no corrections): -0.2233 Ha/atom
formation energy without anion corrections: -806 meV per atom
space group: P-4m2
spin magnetization: 0.7 Bohr magnetons per cell

```
Ac2CeSb4Rh3
1.0
4.627 0.000 0.000
0.000 4.627 0.000
0.000 0.000 11.944
Ac Ce Sb Rh
2 1 4 3
Direct
0.000 0.500 0.224 Ac
0.500 0.000 0.776 Ac
0.000 0.000 0.500 Ce
0.000 0.000 0.000 Sb
0.000 0.500 0.666 Sb
0.500 0.000 0.334 Sb
0.500 0.500 0.000 Sb
0.000 0.500 0.890 Rh
0.500 0.000 0.110 Rh
0.500 0.500 0.500 Rh
```

***

# AcCeSb2Rh2

A geometry-optimized AcCeSb2Rh2 structure (PBE, the Alexandria database).

Calculated values
total DFT energy (no corrections): -0.2367 Ha/atom
formation energy without anion corrections: -942 meV per atom
space group: P-3m1
spin magnetization: 0.0 Bohr magnetons per cell

```
AcCeSb2Rh2
1.0
4.645 0.000 0.000
-2.323 4.023 0.000
0.000 0.000 7.871
Ac Ce Sb Rh
1 1 2 2
Direct
0.000 0.000 0.000 Ac
0.000 0.000 0.500 Ce
0.333 0.667 0.269 Sb
0.667 0.333 0.731 Sb
0.333 0.667 0.693 Rh
0.667 0.333 0.307 Rh
```

***

# Ac2CeSb3Rh6

A geometry-optimized Ac2CeSb3Rh6 structure (PBE, the Alexandria database).

Calculated values
total DFT energy (no corrections): -0.2377 Ha/atom
formation energy without anion corrections: -584 meV per atom
space group: P4/mmm
spin magnetization: 0.0 Bohr magnetons per cell

```
Ac2CeSb3Rh6
1.0
4.146 0.000 0.000
0.000 4.146 0.000
0.000 0.000 17.221
Ac Ce Sb Rh
2 1 3 6
Direct
0.000 0.000 0.144 Ac
0.000 0.000 0.856 Ac
0.000 0.000 0.500 Ce
0.500 0.500 0.000 Sb
0.500 0.500 0.300 Sb
0.500 0.500 0.700 Sb
0.000 0.500 0.390 Rh
0.000 0.500 0.610 Rh
0.500 0.000 0.390 Rh
0.500 0.000 0.610 Rh
0.500 0.500 0.151 Rh
0.500 0.500 0.849 Rh
```

***

# AcCeSi2Rh2

A geometry-optimized AcCeSi2Rh2 structure (PBE, the Alexandria database).

Calculated values
total DFT energy (no corrections): -0.2504 Ha/atom
formation energy without anion corrections: -883 meV per atom
space group: P-3m1
spin magnetization: 0.0 Bohr magnetons per cell

```
AcCeSi2Rh2
1.0
4.203 0.000 0.000
-2.102 3.640 0.000
0.000 0.000 8.506
Ac Ce Si Rh
1 1 2 2
Direct
0.000 0.000 0.000 Ac
0.000 0.000 0.500 Ce
0.333 0.667 0.265 Si
0.667 0.333 0.735 Si
0.333 0.667 0.723 Rh
0.667 0.333 0.277 Rh
```

***

# Ac2CeSn3Rh4

A geometry-optimized Ac2CeSn3Rh4 structure (PBE, the Alexandria database).

Calculated values
total DFT energy (no corrections): -0.2328 Ha/atom
ΔE_f: -777.8 meV/atom
space group: P-4m2
spin magnetization: 0.0 Bohr magnetons per cell

```
Ac2CeSn3Rh4
1.0
4.633 0.000 0.000
0.000 4.633 0.000
0.000 0.000 11.065
Ac Ce Sn Rh
2 1 3 4
Direct
0.000 0.500 0.229 Ac
0.500 0.000 0.771 Ac
0.000 0.000 0.500 Ce
0.000 0.500 0.876 Sn
0.500 0.000 0.124 Sn
0.500 0.500 0.500 Sn
0.000 0.000 0.000 Rh
0.000 0.500 0.635 Rh
0.500 0.000 0.365 Rh
0.500 0.500 0.000 Rh
```

***

# Ac2CeTe3Rh4

A geometry-optimized Ac2CeTe3Rh4 structure (PBE, the Alexandria database).

Calculated values
total DFT energy (no corrections): -0.2259 Ha/atom
formation energy without anion corrections: -849 meV per atom
space group: P-4m2
spin magnetization: 0.5 Bohr magnetons per cell

```
Ac2CeTe3Rh4
1.0
4.607 0.000 0.000
0.000 4.607 0.000
0.000 0.000 11.223
Ac Ce Te Rh
2 1 3 4
Direct
0.000 0.500 0.218 Ac
0.500 0.000 0.782 Ac
0.000 0.000 0.500 Ce
0.000 0.500 0.872 Te
0.500 0.000 0.128 Te
0.500 0.500 0.500 Te
0.000 0.000 0.000 Rh
0.000 0.500 0.638 Rh
0.500 0.000 0.362 Rh
0.500 0.500 0.000 Rh
```

***

# AcCeTeRh

A geometry-optimized AcCeTeRh structure (PBE, the Alexandria database).

Calculated values
total DFT energy (no corrections): -0.2253 Ha/atom
formation energy without anion corrections: -997 meV per atom
space group: R3m
spin magnetization: 0.5 Bohr magnetons per cell

```
AcCeTeRh
1.0
2.112 1.219 7.950
-2.112 1.219 7.950
0.000 -2.439 7.950
Ac Ce Te Rh
1 1 1 1
Direct
0.000 0.000 0.000 Ac
0.805 0.805 0.805 Ce
0.229 0.229 0.229 Te
0.412 0.412 0.412 Rh
```

***

# AcCeZnRh

A geometry-optimized AcCeZnRh structure (PBE, the Alexandria database).

Calculated values
total DFT energy (no corrections): -0.1843 Ha/atom
ΔE_f: -349.0 meV/atom
space group: F-43m
spin magnetization: 0.7 Bohr magnetons per cell

```
AcCeZnRh
1.0
0.000 3.681 3.681
3.681 0.000 3.681
3.681 3.681 0.000
Ac Ce Zn Rh
1 1 1 1
Direct
0.000 0.000 0.000 Ac
0.500 0.500 0.500 Ce
0.250 0.250 0.250 Zn
0.750 0.750 0.750 Rh
```

***

# Ac12CeRu7

A geometry-optimized Ac12CeRu7 structure (PBE, the Alexandria database).

Calculated values
total DFT energy (no corrections): -0.2271 Ha/atom
ΔE_f: -170.7 meV/atom
space group: R-3
spin magnetization: 0.0 Bohr magnetons per cell

```
Ac12CeRu7
1.0
7.538 4.352 3.436
-7.538 4.352 3.436
0.000 -8.704 3.436
Ac Ce Ru
12 1 7
Direct
0.052 0.346 0.127 Ac
0.127 0.052 0.346 Ac
0.181 0.722 0.575 Ac
0.278 0.425 0.819 Ac
0.346 0.127 0.052 Ac
0.425 0.819 0.278 Ac
0.575 0.181 0.722 Ac
0.654 0.873 0.948 Ac
0.722 0.575 0.181 Ac
0.819 0.278 0.425 Ac
0.873 0.948 0.654 Ac
0.948 0.654 0.873 Ac
0.500 0.500 0.500 Ce
0.000 0.000 0.000 Ru
0.163 0.386 0.487 Ru
0.386 0.487 0.163 Ru
0.487 0.163 0.386 Ru
0.513 0.837 0.614 Ru
0.614 0.513 0.837 Ru
0.837 0.614 0.513 Ru
```

***

# AcCe3Ru2

A geometry-optimized AcCe3Ru2 structure (PBE, the Alexandria database).

Calculated values
total DFT energy (no corrections): -0.2547 Ha/atom
ΔE_f: -188.1 meV/atom
space group: C2/m
spin magnetization: 0.0 Bohr magnetons per cell

```
AcCe3Ru2
1.0
8.868 -2.304 0.000
8.868 2.304 0.000
-3.518 0.000 7.646
Ac Ce Ru
2 6 4
Direct
0.167 0.167 0.058 Ac
0.833 0.833 0.942 Ac
0.029 0.029 0.300 Ce
0.300 0.300 0.572 Ce
0.402 0.402 0.360 Ce
0.598 0.598 0.640 Ce
0.700 0.700 0.428 Ce
0.971 0.971 0.700 Ce
0.170 0.170 0.686 Ru
0.477 0.477 0.818 Ru
0.523 0.523 0.182 Ru
0.830 0.830 0.314 Ru
```